! TbPm6Sc3 | Alexandria via LeMat-Bulk | PBE-GGA | relaxed; values from VASP
! Final energy = -5.07 eV per atom
! E above lowest polymorph = 0.00 eV/f.u.
! Calculated formation energy = 1.4 eV per formula unit
&SYSTEM
  ibrav = 0, nat = 20, ntyp = 3
/
ATOMIC_SPECIES
Tb 158.93 Tb.upf
Pm 145.00 Pm.upf
Sc 44.96 Sc.upf
ATOMIC_POSITIONS crystal
Tb 0.013 0.153 0.847
Tb 0.513 0.847 0.153
Pm 0.086 0.736 0.621
Pm 0.586 0.621 0.736
Pm 0.323 0.457 0.894
Pm 0.823 0.894 0.457
Pm 0.268 0.985 0.015
Pm 0.805 0.302 0.698
Pm 0.305 0.698 0.302
Pm 0.768 0.015 0.985
Pm 0.323 0.106 0.543
Pm 0.823 0.543 0.106
Pm 0.086 0.379 0.264
Pm 0.586 0.264 0.379
Sc 0.488 0.959 0.705
Sc 0.988 0.705 0.959
Sc 0.104 0.417 0.583
Sc 0.604 0.583 0.417
Sc 0.988 0.041 0.295
Sc 0.488 0.295 0.041
CELL_PARAMETERS angstrom
6.308 0.000 0.000
0.000 11.123 -2.762
0.000 -5.175 10.226

=====

! Li2Zn2Fe | Alexandria via LeMat-Bulk | PBE-GGA | relaxed; values from VASP
! Final energy = -2.72 eV per atom
! E above lowest polymorph = 0.53 eV/f.u.
! Calculated formation energy = 1.2 eV per formula unit
&SYSTEM
  ibrav = 0, nat = 5, ntyp = 3
/
ATOMIC_SPECIES
Zn 65.41 Zn.upf
Fe 55.84 Fe.upf
Li 6.94 Li.upf
ATOMIC_POSITIONS crystal
Zn 0.405 0.405 0.190
Zn 0.595 0.595 0.810
Fe 0.000 0.000 0.000
Li 0.750 0.250 0.500
Li 0.250 0.750 0.500
CELL_PARAMETERS angstrom
3.390 0.000 0.000
0.000 3.390 0.000
1.695 1.695 6.377

=====

! MgSi | Alexandria via LeMat-Bulk | PBE-GGA | relaxed; values from VASP
! Uncorrected formation energy = 0.03 eV per atom
! Final energy = -3.47 eV per atom
&SYSTEM
  ibrav = 0, nat = 24, ntyp = 2
/
ATOMIC_SPECIES
Mg 24.30 Mg.upf
Si 28.09 Si.upf
ATOMIC_POSITIONS crystal
Mg 0.748 0.520 0.725
Mg 0.684 0.599 0.416
Mg 0.449 0.722 0.070
Mg 0.891 0.012 0.743
Mg 0.654 0.103 0.403
Mg 0.018 0.243 0.065
Mg 0.346 0.897 0.597
Mg 0.252 0.480 0.275
Mg 0.551 0.278 0.930
Mg 0.316 0.401 0.584
Mg 0.109 0.988 0.257
Mg 0.982 0.757 0.935
Si 0.244 0.622 0.768
Si 0.152 0.737 0.441
Si 0.952 0.701 0.134
Si 0.386 0.142 0.763
Si 0.169 0.156 0.433
Si 0.487 0.207 0.131
Si 0.848 0.263 0.559
Si 0.614 0.858 0.237
Si 0.048 0.299 0.866
Si 0.831 0.844 0.567
Si 0.756 0.378 0.232
Si 0.513 0.793 0.869
CELL_PARAMETERS angstrom
-2.268 -4.450 -2.421
-0.999 -2.724 5.252
-12.908 4.230 1.037

=====

! CaNbGeTeP | Alexandria via LeMat-Bulk | PBE-GGA | relaxed; values from VASP
! Uncorrected formation energy = -0.47 eV per atom
! Final energy = -5.52 eV per atom
! E above lowest polymorph = 0.66 eV/f.u.
&SYSTEM
  ibrav = 0, nat = 15, ntyp = 5
/
ATOMIC_SPECIES
Ca 40.08 Ca.upf
Nb 92.91 Nb.upf
Ge 72.64 Ge.upf
Te 127.60 Te.upf
P 30.97 P.upf
ATOMIC_POSITIONS crystal
Ca 0.000 0.000 0.686
Ca 0.333 0.667 0.352
Ca 0.667 0.333 0.019
Nb 0.000 0.000 0.911
Nb 0.333 0.667 0.578
Nb 0.667 0.333 0.245
Ge 0.000 0.000 0.519
Ge 0.333 0.667 0.185
Ge 0.667 0.333 0.852
Te 0.000 0.000 0.430
Te 0.333 0.667 0.097
Te 0.667 0.333 0.763
P 0.000 0.000 0.291
P 0.333 0.667 0.958
P 0.667 0.333 0.624
CELL_PARAMETERS angstrom
3.700 0.000 0.000
-1.850 3.204 0.000
0.000 0.000 29.200

=====

! SrTaW2 | Alexandria via LeMat-Bulk | PBE-GGA | relaxed; values from VASP
! Final energy = -8.59 eV per atom
! E above lowest polymorph = 2.32 eV/f.u.
! Calculated formation energy = 5.1 eV per formula unit
&SYSTEM
  ibrav = 0, nat = 4, ntyp = 3
/
ATOMIC_SPECIES
Sr 87.62 Sr.upf
Ta 180.95 Ta.upf
W 183.84 W.upf
ATOMIC_POSITIONS crystal
Sr 0.500 0.000 0.500
Ta 0.000 0.500 0.500
W 0.000 0.000 0.000
W 0.500 0.500 0.000
CELL_PARAMETERS angstrom
3.133 0.000 0.000
0.000 4.909 0.000
0.000 0.000 4.999

=====

! CoRe2Au | Alexandria via LeMat-Bulk | PBE-GGA | relaxed; values from VASP
! Final energy = -8.56 eV per atom
! E above lowest polymorph = 0.07 eV/f.u.
! Calculated formation energy = 1.0 eV per formula unit
&SYSTEM
  ibrav = 0, nat = 4, ntyp = 3
/
ATOMIC_SPECIES
Au 196.97 Au.upf
Co 58.93 Co.upf
Re 186.21 Re.upf
ATOMIC_POSITIONS crystal
Au 0.000 0.000 0.513
Co 0.500 0.500 0.770
Re 0.000 0.000 0.982
Re 0.500 0.500 0.235
CELL_PARAMETERS angstrom
-2.662 0.005 0.703
-0.692 -0.491 -2.619
0.335 -7.562 1.328

=====

! K2MoOs | Alexandria via LeMat-Bulk | PBE-GGA | relaxed; values from VASP
! Final energy = -4.33 eV per atom
! E above lowest polymorph = 3.71 eV/f.u.
! Calculated formation energy = 6.9 eV per formula unit
&SYSTEM
  ibrav = 0, nat = 4, ntyp = 3
/
ATOMIC_SPECIES
K 39.10 K.upf
Mo 95.94 Mo.upf
Os 190.23 Os.upf
ATOMIC_POSITIONS crystal
K 0.000 0.000 0.000
K 0.250 0.750 0.500
Mo 0.500 0.500 0.000
Os 0.750 0.250 0.500
CELL_PARAMETERS angstrom
-3.501 3.155 -1.351
-3.431 -3.272 1.247
3.396 1.357 3.265

=====

! Ti2Cu2Cl | Alexandria via LeMat-Bulk | PBE-GGA | relaxed; values from VASP
! Uncorrected formation energy = 0.18 eV per atom
! Final energy = -4.99 eV per atom
! E above lowest polymorph = 0.00 eV/f.u.
&SYSTEM
  ibrav = 0, nat = 10, ntyp = 3
/
ATOMIC_SPECIES
Cl 35.45 Cl.upf
Cu 63.55 Cu.upf
Ti 47.87 Ti.upf
ATOMIC_POSITIONS crystal
Cl 0.000 0.000 0.000
Cl 0.500 0.500 0.000
Cu 0.381 0.881 0.000
Cu 0.881 0.619 0.000
Cu 0.619 0.119 0.000
Cu 0.119 0.381 0.000
Ti 0.173 0.673 0.500
Ti 0.673 0.827 0.500
Ti 0.827 0.327 0.500
Ti 0.327 0.173 0.500
CELL_PARAMETERS angstrom
7.378 0.000 0.000
0.000 7.378 0.000
0.000 0.000 2.961

=====

What did the fourth record say?
! CaNbGeTeP | Alexandria via LeMat-Bulk | PBE-GGA | relaxed; values from VASP
! Uncorrected formation energy = -0.47 eV per atom
! Final energy = -5.52 eV per atom
! E above lowest polymorph = 0.66 eV/f.u.
&SYSTEM
  ibrav = 0, nat = 15, ntyp = 5
/
ATOMIC_SPECIES
Ca 40.08 Ca.upf
Nb 92.91 Nb.upf
Ge 72.64 Ge.upf
Te 127.60 Te.upf
P 30.97 P.upf
ATOMIC_POSITIONS crystal
Ca 0.000 0.000 0.686
Ca 0.333 0.667 0.352
Ca 0.667 0.333 0.019
Nb 0.000 0.000 0.911
Nb 0.333 0.667 0.578
Nb 0.667 0.333 0.245
Ge 0.000 0.000 0.519
Ge 0.333 0.667 0.185
Ge 0.667 0.333 0.852
Te 0.000 0.000 0.430
Te 0.333 0.667 0.097
Te 0.667 0.333 0.763
P 0.000 0.000 0.291
P 0.333 0.667 0.958
P 0.667 0.333 0.624
CELL_PARAMETERS angstrom
3.700 0.000 0.000
-1.850 3.204 0.000
0.000 0.000 29.200